[1]
## CaHgP2 (PBE)

Data for CaHgP2 after structural relaxation.

a = 7.511 Å, b = 7.511 Å, c = 6.157 Å
α = 52.41°, β = 52.41°, γ = 90.00°
Positions (direct):
1 P 0.661 0.125 0.250
2 P 0.089 0.625 0.250
3 P 0.375 0.339 0.750
4 P 0.875 0.911 0.750
5 Ca 0.500 0.500 0.000
6 Ca 0.250 0.750 0.500
7 Hg 0.000 0.000 0.000
8 Hg 0.750 0.250 0.500

Its volume is 21.96 A^3/atom. The uncorrected energy is -3.4517 eV per atom. The calculation puts the density of states at the Fermi level at 0.614 states/eV/f.u. The calculation puts the energy of formation at -0.171 eV per atom.


[2]
## CaHg2P (PBE)

Data for CaHg2P after structural relaxation.

a = 5.337 Å, b = 6.499 Å, c = 6.410 Å
α = 90.00°, β = 114.07°, γ = 90.00°
Positions (direct):
1 Ca 0.139 0.500 0.644
2 Ca 0.765 0.000 0.905
3 Hg 0.375 0.761 0.131
4 Hg 0.375 0.239 0.131
5 Hg 0.851 0.500 0.080
6 Hg 0.058 0.000 0.484
7 P 0.612 0.666 0.588
8 P 0.612 0.334 0.588

Its volume is 25.37 A^3/atom. The uncorrected energy is -2.3991 eV per atom. The calculation puts the density of states at the Fermi level at 1.349 states/eV/f.u. The calculation puts the energy of formation at -0.395 eV per atom.


[3]
## Ca2HgP (PBE)

Data for Ca2HgP after structural relaxation.

a = 3.604 Å, b = 3.758 Å, c = 7.186 Å
α = 90.00°, β = 90.00°, γ = 90.00°
Positions (direct):
1 P 0.500 0.500 0.750
2 Ca 0.000 0.000 0.966
3 Ca 0.000 0.000 0.534
4 Hg 0.500 0.500 0.250

Its volume is 24.33 A^3/atom. The uncorrected energy is -3.1919 eV per atom. The calculation puts the density of states at the Fermi level at 1.492 states/eV/f.u. The calculation puts the energy of formation at -0.763 eV per atom. For the energy above the lowest structure with this stoichiometry, the calculation gives 27 kJ/mol of formula units.